The following is a GGA-PBE calculation of crystalline Be2CuBr at its relaxed geometry, from Alexandria via LeMat-Bulk.

Uncorrected formation energy, eV per atom: 0.378
Space group: Imm2

Lattice parameters (Å, degrees): 7.7184 7.7184 7.7184 156.46 156.67 33.39
Last column: nearest neighbours and their distance in Å.
Element x y z (fractional)
Be (0.9187, 0.9187, 0.0000)  2 Cu 2.41, 2 Be 2.52, 4 Br 2.53
Be (0.7856, 0.2856, 0.5000)  4 Cu 2.22
Cu (0.2946, 0.7946, 0.5000)  6 Be 2.22-2.41
Br (0.5011, 0.5011, 0.0000)  4 Be 2.53

---

The following is a GGA-PBE calculation of crystalline Li6InSn2 at its relaxed geometry, from Alexandria via LeMat-Bulk.

Energy of formation from the pure elements, meV per atom: -331
Space group: C2/m

Lattice parameters (Å, degrees): 3.0259 8.0153 8.6235 117.69 111.08 90.00
Last column: nearest neighbours and their distance in Å.
Element x y z (fractional)
Sn (0.6678, 0.3339, 0.6677)  2 Sn 3.03, 12 Li 3.05-3.10
Sn (0.3322, 0.6661, 0.3323)  2 Sn 3.03, 12 Li 3.05-3.10
Li (0.1576, 0.9998, 0.6638)  3 Li 2.64-2.71
Li (0.5000, 0.3362, 0.0000)  3 Li 2.63-2.71
Li (0.8424, 0.3360, 0.3362)  3 Li 2.64-2.71
Li (0.5000, 0.6638, 0.0000)  3 Li 2.63-2.71
Li (0.1576, 0.6640, 0.6638)  3 Li 2.64-2.71
Li (0.8424, 0.0002, 0.3362)  3 Li 2.64-2.71
In (0.0000, 0.0000, 0.0000)  2 In 3.03, 12 Li 3.09-3.10

---

The following is a GGA-PBE calculation of crystalline CsBiO2F at its relaxed geometry, from Alexandria via LeMat-Bulk.

Uncorrected formation energy, eV per atom: -1.556
Space group: P4/mmm

Lattice parameters (Å, degrees): 4.4044 4.4044 4.8330 90.00 90.00 90.00
Last column: nearest neighbours and their distance in Å.
Element x y z (fractional)
O (0.0000, 0.5000, 0.0000)  2 Bi 2.20
O (0.5000, 0.0000, 0.0000)  2 Bi 2.20
Cs (0.5000, 0.5000, 0.5000)  4 F 3.11, 8 O 3.27
F (0.0000, 0.0000, 0.5000)  2 Bi 2.42
Bi (0.0000, 0.0000, 0.0000)  4 O 2.20, 2 F 2.42

---

The following is a GGA-PBE calculation of crystalline Sb4RuRh at its relaxed geometry, from Alexandria via LeMat-Bulk.

Uncorrected formation energy, eV per atom: 1.103
Space group: F-43m

Lattice parameters (Å, degrees): 5.9108 5.9108 5.9108 60.00 60.00 60.00
Last column: nearest neighbours and their distance in Å.
Element x y z (fractional)
Ru (0.0000, 0.0000, 0.0000)  12 Sb 3.47, 4 Rh 3.62
Rh (0.7500, 0.7500, 0.7500)  12 Sb 3.47, 4 Ru 3.62
Sb (0.8753, 0.3749, 0.3749)  6 Sb 2.95-2.96
Sb (0.3749, 0.3749, 0.3749)  6 Sb 2.95-2.96
Sb (0.3749, 0.8753, 0.3749)  6 Sb 2.95-2.96
Sb (0.3749, 0.3749, 0.8753)  6 Sb 2.95-2.96

---

The following is a GGA-PBE calculation of crystalline LiTm4Tl3 at its relaxed geometry, from Alexandria via LeMat-Bulk.

Energy of formation from the pure elements, meV per atom: -242
Space group: I4/mmm

Lattice parameters (Å, degrees): 5.1301 5.1300 8.6145 107.32 107.32 90.00
Last column: nearest neighbours and their distance in Å.
Element x y z (fractional)
Tl (0.7456, 0.2456, 0.4912)  8 Tm 3.19-3.27
Tl (0.2544, 0.7544, 0.5088)  8 Tm 3.19-3.27
Tl (0.0000, 0.5000, 0.0000)  8 Tm 3.22
Li (0.5000, 0.0000, 0.0000)  8 Tm 3.22
Tm (0.8756, 0.8756, 0.7511)  6 Tl 3.19-3.27, 2 Li 3.22
Tm (0.1244, 0.1244, 0.2489)  6 Tl 3.19-3.27, 2 Li 3.22
Tm (0.3756, 0.3756, 0.7511)  6 Tl 3.19-3.27, 2 Li 3.22
Tm (0.6244, 0.6244, 0.2489)  6 Tl 3.19-3.27, 2 Li 3.22

---

The following is a GGA-PBE calculation of crystalline TbPr2PuSe4 at its relaxed geometry, from Alexandria via LeMat-Bulk.

Uncorrected formation energy, eV per atom: -1.765
Space group: P2/m

Lattice parameters (Å, degrees): 4.1645 7.2487 7.3027 109.06 90.00 90.00
Last column: nearest neighbours and their distance in Å.
Element x y z (fractional)
Pr (0.0000, 0.5000, 0.5000)  6 Se 3.02
Pr (0.5000, 0.0000, 0.5000)  6 Se 3.01
Se (0.5000, 0.7562, 0.7633)  2 Tb 2.91, 1 Pu 2.92, 3 Pr 3.01-3.02
Se (0.0000, 0.7476, 0.2380)  1 Tb 2.91, 2 Pu 2.92, 3 Pr 3.01-3.02
Se (0.0000, 0.2524, 0.7620)  1 Tb 2.91, 2 Pu 2.92, 3 Pr 3.01-3.02
Se (0.5000, 0.2438, 0.2367)  2 Tb 2.91, 1 Pu 2.92, 3 Pr 3.01-3.02
Tb (0.0000, 0.0000, 0.0000)  6 Se 2.91
Pu (0.5000, 0.5000, 0.0000)  6 Se 2.92

---

The following is a GGA-PBE calculation of crystalline SmLuTh2 at its relaxed geometry, from Alexandria via LeMat-Bulk.

Energy of formation from the pure elements, meV per atom: 53
Space group: P4/mmm

Lattice parameters (Å, degrees): 5.0945 5.0075 5.0075 90.00 90.00 90.00
Last column: nearest neighbours and their distance in Å.
Element x y z (fractional)
Th (0.0000, 0.0000, 0.5000)  4 Th 3.54, 4 Sm 3.57, 4 Lu 3.57
Th (0.0000, 0.5000, 0.0000)  4 Th 3.54, 4 Sm 3.57, 4 Lu 3.57
Sm (0.5000, 0.0000, 0.0000)  4 Lu 3.54, 8 Th 3.57
Lu (0.5000, 0.5000, 0.5000)  4 Sm 3.54, 8 Th 3.57

---

The following is a GGA-PBE calculation of crystalline LaZrBr2 at its relaxed geometry, from Alexandria via LeMat-Bulk.

Uncorrected formation energy, eV per atom: -0.651
Space group: Pmmm

Lattice parameters (Å, degrees): 3.4789 6.3121 4.9146 90.00 90.00 90.00
Last column: nearest neighbours and their distance in Å.
Element x y z (fractional)
Zr (0.0000, 0.5000, 0.5000)  4 Br 3.01
Br (0.0000, 0.0000, 0.0000)  4 La 3.01
Br (0.5000, 0.5000, 0.0000)  4 Zr 3.01
La (0.5000, 0.0000, 0.5000)  4 Br 3.01

---

The following is a GGA-PBE calculation of crystalline CaPm4Mg at its relaxed geometry, from Alexandria via LeMat-Bulk.

Energy of formation from the pure elements, meV per atom: -7
Space group: P4/mmm

Lattice parameters (Å, degrees): 3.6898 3.6898 14.8252 90.00 90.00 90.00
Last column: nearest neighbours and their distance in Å.
Element x y z (fractional)
Pm (0.5000, 0.5000, 0.1877)  8 Pm 3.57-3.69, 4 Ca 3.81
Pm (0.5000, 0.5000, 0.8123)  8 Pm 3.57-3.69, 4 Ca 3.81
Pm (0.0000, 0.0000, 0.3524)  4 Mg 3.41, 8 Pm 3.57-3.69
Pm (0.0000, 0.0000, 0.6476)  4 Mg 3.41, 8 Pm 3.57-3.69
Mg (0.5000, 0.5000, 0.5000)  8 Pm 3.41, 4 Mg 3.69
Ca (0.0000, 0.0000, 0.0000)  4 Ca 3.69, 8 Pm 3.81

---

The following is a GGA-PBE calculation of crystalline NaV2SiOs at its relaxed geometry, from Alexandria via LeMat-Bulk.

Uncorrected formation energy, eV per atom: 0.698
Space group: P4/mmm

Lattice parameters (Å, degrees): 4.8687 4.6039 4.8687 90.00 90.00 90.00
Last column: nearest neighbours and their distance in Å.
Element x y z (fractional)
V (0.5000, 0.0000, 0.0000)  2 Os 2.43
V (0.0000, 0.0000, 0.5000)  2 Os 2.43
Na (0.5000, 0.5000, 0.5000)  8 V 3.35, 4 Si 3.44
Si (0.0000, 0.5000, 0.0000)  2 Os 2.30
Os (0.0000, 0.0000, 0.0000)  2 Si 2.30, 4 V 2.43

---

The following is a GGA-PBE calculation of crystalline Rb3CBr at its relaxed geometry, from Alexandria via LeMat-Bulk.

Uncorrected formation energy, eV per atom: 0.256
Space group: Pm-3m

Lattice parameters (Å, degrees): 5.9695 5.9695 5.9695 90.00 90.00 90.00
Last column: nearest neighbours and their distance in Å.
Element x y z (fractional)
Rb (0.5000, 0.0000, 0.0000)  2 C 2.98
Rb (0.0000, 0.0000, 0.5000)  2 C 2.98
Rb (0.0000, 0.5000, 0.0000)  2 C 2.98
C (0.0000, 0.0000, 0.0000)  6 Rb 2.98
Br (0.5000, 0.5000, 0.5000)  12 Rb 4.22

---

The following is a GGA-PBE calculation of crystalline HfP2AuS at its relaxed geometry, from Alexandria via LeMat-Bulk.

Uncorrected formation energy, eV per atom: 0.377
Space group: P4/mmm

Lattice parameters (Å, degrees): 5.0207 5.0207 4.8090 90.00 90.00 90.00
Last column: nearest neighbours and their distance in Å.
Element x y z (fractional)
P (0.0000, 0.5000, 0.0000)  2 Hf 2.51
P (0.5000, 0.0000, 0.0000)  2 Hf 2.51
S (0.0000, 0.0000, 0.5000)  2 Hf 2.40
Hf (0.0000, 0.0000, 0.0000)  2 S 2.40, 4 P 2.51
Au (0.5000, 0.5000, 0.5000)  8 P 3.48, 4 S 3.55

---

The following is a GGA-PBE calculation of crystalline CuTcIr3 at its relaxed geometry, from Alexandria via LeMat-Bulk.

Energy of formation from the pure elements, meV per atom: 1739
Space group: Pm-3m

Lattice parameters (Å, degrees): 4.4178 4.4178 4.4178 90.00 90.00 90.00
Last column: nearest neighbours and their distance in Å.
Element x y z (fractional)
Tc (0.5000, 0.5000, 0.5000)  12 Ir 3.12
Ir (0.5000, 0.0000, 0.0000)  2 Cu 2.21
Ir (0.0000, 0.0000, 0.5000)  2 Cu 2.21
Ir (0.0000, 0.5000, 0.0000)  2 Cu 2.21
Cu (0.0000, 0.0000, 0.0000)  6 Ir 2.21

---

The following is a GGA-PBE calculation of crystalline TbTl2Bi at its relaxed geometry, from Alexandria via LeMat-Bulk.

Energy of formation from the pure elements, meV per atom: -312
Space group: P4/mmm

Lattice parameters (Å, degrees): 4.8600 4.8471 4.8471 90.00 90.00 90.00
Last column: nearest neighbours and their distance in Å.
Element x y z (fractional)
Tl (0.0000, 0.5000, 0.0000)  4 Tl 3.43, 4 Tb 3.43, 4 Bi 3.43
Tl (0.0000, 0.0000, 0.5000)  4 Tl 3.43, 4 Tb 3.43, 4 Bi 3.43
Tb (0.5000, 0.5000, 0.5000)  4 Bi 3.43, 8 Tl 3.43
Bi (0.5000, 0.0000, 0.0000)  4 Tb 3.43, 8 Tl 3.43

---

The following is a GGA-PBE calculation of crystalline Os2SeCl at its relaxed geometry, from Alexandria via LeMat-Bulk.

Uncorrected formation energy, eV per atom: 1.249
Space group: Fm-3m

Lattice parameters (Å, degrees): 4.4047 4.4047 4.4047 60.00 60.00 60.00
Last column: nearest neighbours and their distance in Å.
Element x y z (fractional)
Se (0.5000, 0.5000, 0.5000)  8 Os 2.70
Os (0.7500, 0.7500, 0.7500)  4 Cl 2.70, 4 Se 2.70
Os (0.2500, 0.2500, 0.2500)  4 Cl 2.70, 4 Se 2.70
Cl (0.0000, 0.0000, 0.0000)  8 Os 2.70

---

The following is a GGA-PBE calculation of crystalline Tb4Ho2N at its relaxed geometry, from Alexandria via LeMat-Bulk.

Uncorrected formation energy, eV per atom: -0.253
Space group: I4/mmm

Lattice parameters (Å, degrees): 4.8104 4.8104 9.3927 75.16 75.16 90.00
Last column: nearest neighbours and their distance in Å.
Element x y z (fractional)
Ho (0.6673, 0.6673, 0.6654)  9 Tb 3.45-3.79
Ho (0.3327, 0.3327, 0.3346)  9 Tb 3.45-3.79
Tb (0.8662, 0.8662, 0.2676)  1 N 2.34
Tb (0.5000, 0.0000, 0.0000)  2 N 2.41
Tb (0.0000, 0.5000, 0.0000)  2 N 2.41
Tb (0.1338, 0.1338, 0.7324)  1 N 2.34
N (0.0000, 0.0000, 0.0000)  6 Tb 2.34-2.41

---

The following is a GGA-PBE calculation of crystalline Tb8Y2Tm at its relaxed geometry, from Alexandria via LeMat-Bulk.

Energy of formation from the pure elements, meV per atom: 168
Space group: C2/m

Lattice parameters (Å, degrees): 6.6314 10.1781 10.1782 38.15 59.54 59.54
Last column: nearest neighbours and their distance in Å.
Element x y z (fractional)
Tb (0.7266, 0.5894, 0.5894)  8 Tb 3.33-3.70, 1 Y 3.67
Tb (0.8274, 0.2455, 0.2455)  5 Tb 3.26-3.43, 4 Y 3.35-3.58
Tb (0.1726, 0.7545, 0.7545)  5 Tb 3.26-3.43, 4 Y 3.35-3.58
Tb (0.7746, 0.1742, 0.6510)  5 Tb 3.17-3.48, 1 Tm 3.28, 1 Y 3.45
Tb (0.7746, 0.6510, 0.1742)  5 Tb 3.17-3.48, 1 Tm 3.28, 1 Y 3.45
Tb (0.2254, 0.8258, 0.3490)  5 Tb 3.17-3.48, 1 Tm 3.28, 1 Y 3.45
Tb (0.2254, 0.3490, 0.8258)  5 Tb 3.17-3.48, 1 Tm 3.28, 1 Y 3.45
Tb (0.2734, 0.4106, 0.4106)  8 Tb 3.33-3.70, 1 Y 3.67
Tm (0.0000, 0.0000, 0.0000)  4 Tb 3.28
Y (0.4078, 0.1989, 0.1989)  7 Tb 3.35-3.67, 1 Tm 3.73
Y (0.5922, 0.8011, 0.8011)  7 Tb 3.35-3.67, 1 Tm 3.73

---

The following is a GGA-PBE calculation of crystalline Ce2DyHo at its relaxed geometry, from Alexandria via LeMat-Bulk.

Energy of formation from the pure elements, meV per atom: 227
Space group: Fm-3m

Lattice parameters (Å, degrees): 5.6201 5.6201 5.6201 60.00 60.00 60.00
Last column: nearest neighbours and their distance in Å.
Element x y z (fractional)
Dy (0.0000, 0.0000, 0.0000)  8 Ce 3.44
Ho (0.5000, 0.5000, 0.5000)  8 Ce 3.44
Ce (0.7500, 0.7500, 0.7500)  4 Dy 3.44, 4 Ho 3.44
Ce (0.2500, 0.2500, 0.2500)  4 Dy 3.44, 4 Ho 3.44

---

The following is a GGA-PBE calculation of crystalline PuMnAgS4 at its relaxed geometry, from Alexandria via LeMat-Bulk.

Uncorrected formation energy, eV per atom: -0.822
Space group: Imma

Lattice parameters (Å, degrees): 7.4740 7.4641 7.4641 65.24 59.96 59.96
Last column: nearest neighbours and their distance in Å.
Element x y z (fractional)
Mn (0.5000, 0.0000, 0.5000)  6 S 2.41-2.48
Mn (0.0000, 0.0000, 0.5000)  6 S 2.41-2.48
S (0.7405, 0.8069, 0.7120)  2 Mn 2.48, 1 Ag 2.53, 1 Pu 2.65
S (0.2267, 0.7617, 0.2617)  1 Mn 2.41, 1 Ag 2.61, 2 Pu 2.69
S (0.7733, 0.2383, 0.7383)  1 Mn 2.41, 1 Ag 2.61, 2 Pu 2.69
S (0.7498, 0.7617, 0.2617)  1 Mn 2.41, 1 Ag 2.61, 2 Pu 2.69
S (0.2595, 0.1931, 0.2880)  2 Mn 2.48, 1 Ag 2.53, 1 Pu 2.65
S (0.2595, 0.7880, 0.6931)  2 Mn 2.48, 1 Ag 2.53, 1 Pu 2.65
S (0.2502, 0.2383, 0.7383)  1 Mn 2.41, 1 Ag 2.61, 2 Pu 2.69
S (0.7405, 0.2120, 0.3069)  2 Mn 2.48, 1 Ag 2.53, 1 Pu 2.65
Pu (0.0000, 0.0000, 0.0000)  6 S 2.65-2.69
Pu (0.0000, 0.5000, 0.5000)  6 S 2.65-2.69
Ag (0.3400, 0.4100, 0.9100)  4 S 2.53-2.61
Ag (0.6600, 0.5900, 0.0900)  4 S 2.53-2.61

---

The following is a GGA-PBE calculation of crystalline Mg2GaCo at its relaxed geometry, from Alexandria via LeMat-Bulk.

Energy of formation from the pure elements, meV per atom: 15
Space group: P4/mmm

Lattice parameters (Å, degrees): 3.1732 3.1732 6.3772 90.00 90.00 90.00
Last column: nearest neighbours and their distance in Å.
Element x y z (fractional)
Mg (0.0000, 0.0000, 0.2194)  4 Co 2.64, 1 Mg 2.80, 4 Ga 2.87
Mg (0.0000, 0.0000, 0.7806)  4 Co 2.64, 1 Mg 2.80, 4 Ga 2.87
Co (0.5000, 0.5000, 0.0000)  8 Mg 2.64
Ga (0.5000, 0.5000, 0.5000)  8 Mg 2.87, 4 Ga 3.17, 2 Co 3.19